Below is a geometry-optimized Ac2LaPm5Pr structure, with properties calculated at the PBE-GGA level.

Cell: 5.9528 17.9818 12.5464 Å, 90.00 90.00 90.00°
Space group Cmc2_1 (No. 36)
One atom of each set of equivalent atoms:
Ac 0.0000 0.0821 0.0000 (multiplicity 4)
Ac 0.0000 0.1117 0.6698 (multiplicity 4)
La 0.0000 0.2517 0.1742 (multiplicity 4)
Pm 0.0000 0.0871 0.3429 (multiplicity 4)
Pm 0.0000 0.2716 0.4714 (multiplicity 4)
Pm 0.0000 0.2727 0.8715 (multiplicity 4)
Pm 0.0000 0.4391 0.0212 (multiplicity 4)
Pm 0.0000 0.4438 0.3116 (multiplicity 4)
Pr 0.0000 0.3874 0.6749 (multiplicity 4)

## Properties
- Total moment: 0.000 μB/atom
- ΔH_f (0 K): 77 meV per atom
- Calculated volume: 37.3 Å³/atom
- Total energy: -4.554 eV/atom